Entry 1:
# AcPrAu4, relaxed, DFT PBE
data_AcPrAu4
_symmetry_space_group_name_H-M 'C 1 2/m 1'
_symmetry_Int_Tables_number 12
_symmetry_space_group_name_Hall '-C 2y'
_cell_length_a 4.815
_cell_length_b 8.356
_cell_length_c 7.557
_cell_angle_alpha 90.00
_cell_angle_beta 90.09
_cell_angle_gamma 90.00
loop_
_atom_site_label
_atom_site_fract_x
_atom_site_fract_y
_atom_site_fract_z
Ac1 0.000 0.000 0.000
Pr1 0.000 0.000 0.500
Au1 0.000 0.334 0.267
# ΔH_f (0 K) (meV/atom): -796
# Electronic total energy (eV/atom): -4.462

=====

Entry 2:
# Ac2PrAu5, relaxed, DFT PBE
data_Ac2PrAu5
_symmetry_space_group_name_H-M 'I 4/m m m'
_symmetry_Int_Tables_number 139
_symmetry_space_group_name_Hall '-I 4 2'
_cell_length_a 5.386
_cell_length_b 5.386
_cell_length_c 14.560
_cell_angle_alpha 90.00
_cell_angle_beta 90.00
_cell_angle_gamma 90.00
loop_
_atom_site_label
_atom_site_fract_x
_atom_site_fract_y
_atom_site_fract_z
Ac1 0.000 0.000 0.223
Pr1 0.000 0.000 0.500
Au1 0.000 0.000 0.000
Au2 0.000 0.500 0.112
# ΔH_f (0 K) (meV/atom): -680
# Electronic total energy (eV/atom): -4.353

=====

Entry 3:
# Ac2PrAu2, relaxed, DFT PBE
data_Ac2PrAu2
_symmetry_space_group_name_H-M 'P 4/m b m'
_symmetry_Int_Tables_number 127
_symmetry_space_group_name_Hall '-P 4 2ab'
_cell_length_a 8.724
_cell_length_b 8.724
_cell_length_c 4.159
_cell_angle_alpha 90.00
_cell_angle_beta 90.00
_cell_angle_gamma 90.00
loop_
_atom_site_label
_atom_site_fract_x
_atom_site_fract_y
_atom_site_fract_z
Ac1 0.165 0.335 0.000
Pr1 0.000 0.000 0.500
Au1 0.131 0.631 0.500
# ΔH_f (0 K) (meV/atom): -635
# Electronic total energy (eV/atom): -4.546

=====

Entry 4:
# AcPrAu4, relaxed, DFT PBE
data_AcPrAu4
_symmetry_space_group_name_H-M 'F -4 3 m'
_symmetry_Int_Tables_number 216
_symmetry_space_group_name_Hall 'F -4 2 3'
_cell_length_a 8.282
_cell_length_b 8.282
_cell_length_c 8.282
_cell_angle_alpha 90.00
_cell_angle_beta 90.00
_cell_angle_gamma 90.00
loop_
_atom_site_label
_atom_site_fract_x
_atom_site_fract_y
_atom_site_fract_z
Ac1 0.000 0.000 0.000
Pr1 0.250 0.250 0.750
Au1 0.125 0.125 0.375
# ΔH_f (0 K) (meV/atom): -521
# Electronic total energy (eV/atom): -4.187